Below is a relaxed HfTlTe2 crystal, with properties calculated at the PBE level.

a = 5.297 Å, b = 5.297 Å, c = 5.297 Å
α = 60.00°, β = 60.00°, γ = 60.00°
Fractional positions:
Hf: 0.000 0.000 0.000
Tl: 0.750 0.750 0.750
Te: 0.250 0.250 0.250
Te: 0.500 0.500 0.500

* M_tot: 0.50 μB/cell
* space-group type: F-43m
* crystal system: cubic
* total energy: -4.35 eV per atom